Entry 1:
{
  "formula": "Pm2SnTe4",
  "functional": "PBE",
  "state": "optimized geometry",
  "lattice": [[7.998, 0.000, 0.000], [0.000, 13.009, 0.000], [0.000, 0.000, 4.605]],
  "species": ["Pm", "Pm", "Pm", "Pm", "Sn", "Sn", "Te", "Te", "Te", "Te", "Te", "Te", "Te", "Te"],
  "fractional_positions": [[0.090, 0.179, 0.000], [0.410, 0.679, 0.000], [0.590, 0.321, 0.000], [0.910, 0.821, 0.000], [0.000, 0.500, 0.500], [0.500, 0.000, 0.500], [0.141, 0.720, 0.500], [0.241, 0.956, 0.000], [0.259, 0.456, 0.000], [0.359, 0.220, 0.500], [0.641, 0.780, 0.500], [0.741, 0.544, 0.000], [0.759, 0.044, 0.000], [0.859, 0.280, 0.500]],
  "spacegroup": "Pbam, No. 55"
}

Entry 2:
{
  "formula": "Pm10Sn3Te3",
  "functional": "PBE",
  "state": "optimized geometry",
  "lattice": [[9.289, 0.000, 0.000], [-4.645, 8.045, 0.000], [0.000, 0.000, 6.478]],
  "species": ["Pm", "Pm", "Pm", "Pm", "Pm", "Pm", "Pm", "Pm", "Pm", "Pm", "Sn", "Sn", "Sn", "Te", "Te", "Te"],
  "fractional_positions": [[0.000, 0.247, 0.000], [0.000, 0.751, 0.500], [0.247, 0.000, 0.000], [0.249, 0.249, 0.500], [0.333, 0.667, 0.249], [0.333, 0.667, 0.751], [0.667, 0.333, 0.249], [0.667, 0.333, 0.751], [0.751, 0.000, 0.500], [0.753, 0.753, 0.000], [0.000, 0.611, 0.000], [0.389, 0.389, 0.000], [0.611, 0.000, 0.000], [0.000, 0.385, 0.500], [0.385, 0.000, 0.500], [0.615, 0.615, 0.500]],
  "spacegroup": "P-62m, No. 189"
}

Entry 3:
{
  "formula": "Pm2SnTe",
  "functional": "PBE",
  "state": "optimized geometry",
  "lattice": [[2.242, 1.295, 7.390], [-2.242, 1.295, 7.390], [0.000, -2.589, 7.390]],
  "species": ["Pm", "Pm", "Sn", "Te"],
  "fractional_positions": [[0.247, 0.247, 0.247], [0.753, 0.753, 0.753], [0.500, 0.500, 0.500], [0.000, 0.000, 0.000]],
  "spacegroup": "R-3m, No. 166"
}

Entry 4:
{
  "formula": "PmSn5Te7",
  "functional": "PBE",
  "state": "optimized geometry",
  "lattice": [[7.488, -2.205, 0.000], [7.488, 2.205, 0.000], [-0.007, 0.000, 26.254]],
  "species": ["Pm", "Pm", "Sn", "Sn", "Sn", "Sn", "Sn", "Sn", "Sn", "Sn", "Sn", "Sn", "Te", "Te", "Te", "Te", "Te", "Te", "Te", "Te", "Te", "Te", "Te", "Te", "Te", "Te"],
  "fractional_positions": [[0.000, 0.000, 0.000], [0.591, 0.591, 0.500], [0.056, 0.056, 0.335], [0.082, 0.082, 0.686], [0.237, 0.237, 0.112], [0.266, 0.266, 0.909], [0.324, 0.324, 0.409], [0.353, 0.353, 0.612], [0.508, 0.508, 0.186], [0.535, 0.535, 0.835], [0.784, 0.784, 0.258], [0.806, 0.806, 0.758], [0.000, 0.000, 0.578], [0.145, 0.145, 0.222], [0.171, 0.171, 0.798], [0.239, 0.239, 0.514], [0.351, 0.351, 0.014], [0.419, 0.419, 0.298], [0.445, 0.445, 0.722], [0.590, 0.590, 0.079], [0.621, 0.621, 0.940], [0.681, 0.681, 0.383], [0.721, 0.721, 0.653], [0.869, 0.869, 0.153], [0.909, 0.909, 0.883], [0.970, 0.970, 0.440]],
  "spacegroup": "Cm, No. 8"
}

Entry 5:
{
  "formula": "PmSnTe4",
  "functional": "PBE",
  "state": "optimized geometry",
  "lattice": [[6.319, 0.000, 0.000], [0.000, 10.331, 0.000], [-3.024, 0.000, 7.491]],
  "species": ["Pm", "Pm", "Sn", "Sn", "Te", "Te", "Te", "Te", "Te", "Te", "Te", "Te"],
  "fractional_positions": [[0.095, 0.250, 0.181], [0.905, 0.750, 0.819], [0.282, 0.750, 0.398], [0.718, 0.250, 0.602], [0.047, 0.057, 0.853], [0.047, 0.443, 0.853], [0.271, 0.250, 0.599], [0.395, 0.750, 0.774], [0.605, 0.250, 0.226], [0.729, 0.750, 0.401], [0.953, 0.557, 0.147], [0.953, 0.943, 0.147]],
  "spacegroup": "P2_1/m, No. 11"
}

Entry 6:
{
  "formula": "Pm2SnTe5",
  "functional": "PBE",
  "state": "optimized geometry",
  "lattice": [[3.173, -7.635, 0.000], [3.173, 7.635, 0.000], [0.000, 0.000, 14.017]],
  "species": ["Pm", "Pm", "Pm", "Pm", "Sn", "Sn", "Te", "Te", "Te", "Te", "Te", "Te", "Te", "Te", "Te", "Te"],
  "fractional_positions": [[0.171, 0.829, 0.571], [0.171, 0.829, 0.929], [0.829, 0.171, 0.071], [0.829, 0.171, 0.429], [0.193, 0.807, 0.250], [0.807, 0.193, 0.750], [0.032, 0.968, 0.097], [0.032, 0.968, 0.403], [0.289, 0.711, 0.750], [0.317, 0.683, 0.086], [0.317, 0.683, 0.414], [0.683, 0.317, 0.586], [0.683, 0.317, 0.914], [0.711, 0.289, 0.250], [0.968, 0.032, 0.597], [0.968, 0.032, 0.903]],
  "spacegroup": "Cmcm, No. 63"
}

Entry 7:
{
  "formula": "Pm8Sn2Te",
  "functional": "PBE",
  "state": "optimized geometry",
  "lattice": [[9.415, -2.417, 0.000], [9.415, 2.417, 0.000], [-0.364, 0.000, 7.823]],
  "species": ["Pm", "Pm", "Pm", "Pm", "Pm", "Pm", "Pm", "Pm", "Sn", "Sn", "Te"],
  "fractional_positions": [[0.002, 0.002, 0.253], [0.217, 0.217, 0.358], [0.336, 0.336, 0.959], [0.400, 0.400, 0.477], [0.600, 0.600, 0.523], [0.664, 0.664, 0.041], [0.783, 0.783, 0.642], [0.998, 0.998, 0.747], [0.174, 0.174, 0.773], [0.826, 0.826, 0.227], [0.500, 0.500, 0.000]],
  "spacegroup": "C2/m, No. 12"
}

Entry 8:
{
  "formula": "Pm2SnTe",
  "functional": "PBE",
  "state": "optimized geometry",
  "lattice": [[4.192, -12.218, 0.000], [4.192, 12.218, 0.000], [-0.001, 0.000, 4.740]],
  "species": ["Pm", "Pm", "Pm", "Pm", "Pm", "Pm", "Pm", "Pm", "Sn", "Sn", "Sn", "Sn", "Te", "Te", "Te", "Te"],
  "fractional_positions": [[0.065, 0.435, 0.750], [0.178, 0.303, 0.252], [0.303, 0.178, 0.752], [0.435, 0.065, 0.250], [0.565, 0.935, 0.750], [0.697, 0.822, 0.248], [0.822, 0.697, 0.748], [0.935, 0.565, 0.250], [0.203, 0.797, 0.750], [0.456, 0.544, 0.750], [0.544, 0.456, 0.250], [0.797, 0.203, 0.250], [0.068, 0.932, 0.250], [0.340, 0.660, 0.250], [0.660, 0.340, 0.750], [0.932, 0.068, 0.750]],
  "spacegroup": "C2/c, No. 15"
}

Entry 9:
{
  "formula": "Pm3Sn2Te",
  "functional": "PBE",
  "state": "optimized geometry",
  "lattice": [[4.281, 0.000, 0.000], [0.000, 10.260, 0.000], [0.000, 0.000, 8.269]],
  "species": ["Pm", "Pm", "Pm", "Pm", "Pm", "Pm", "Sn", "Sn", "Sn", "Sn", "Te", "Te"],
  "fractional_positions": [[0.000, 0.084, 0.000], [0.000, 0.916, 0.500], [0.500, 0.213, 0.348], [0.500, 0.404, 0.851], [0.500, 0.596, 0.351], [0.500, 0.787, 0.848], [0.000, 0.262, 0.623], [0.000, 0.738, 0.123], [0.500, 0.072, 0.718], [0.500, 0.928, 0.218], [0.000, 0.383, 0.150], [0.000, 0.617, 0.650]],
  "spacegroup": "Pmc2_1, No. 26"
}

Entry 10:
{
  "formula": "Pm6SnTe2",
  "functional": "PBE",
  "state": "optimized geometry",
  "lattice": [[6.648, -3.059, 0.000], [6.648, 3.059, 0.000], [-6.363, 0.000, 7.177]],
  "species": ["Pm", "Pm", "Pm", "Pm", "Pm", "Pm", "Sn", "Te", "Te"],
  "fractional_positions": [[0.056, 0.056, 0.231], [0.313, 0.313, 0.851], [0.428, 0.428, 0.587], [0.572, 0.572, 0.413], [0.687, 0.687, 0.149], [0.944, 0.944, 0.769], [0.000, 0.000, 0.500], [0.247, 0.247, 0.133], [0.753, 0.753, 0.867]],
  "spacegroup": "C2/m, No. 12"
}

Entry 11:
{
  "formula": "PmThSnTe",
  "functional": "PBE",
  "state": "optimized geometry",
  "lattice": [[0.000, 3.870, 3.870], [3.870, 0.000, 3.870], [3.870, 3.870, 0.000]],
  "species": ["Pm", "Th", "Sn", "Te"],
  "fractional_positions": [[0.000, 0.000, 0.000], [0.500, 0.500, 0.500], [0.750, 0.750, 0.750], [0.250, 0.250, 0.250]],
  "spacegroup": "F-43m, No. 216"
}

Entry 12:
{
  "formula": "PmThSnTe",
  "functional": "PBE",
  "state": "optimized geometry",
  "lattice": [[2.265, 1.308, 7.281], [-2.265, 1.308, 7.281], [0.000, -2.615, 7.281]],
  "species": ["Pm", "Th", "Sn", "Te"],
  "fractional_positions": [[0.000, 0.000, 0.000], [0.493, 0.493, 0.493], [0.746, 0.746, 0.746], [0.247, 0.247, 0.247]],
  "spacegroup": "R3m, No. 160"
}

no.,E_form (uncorrected) (meV/atom),DFT total energy (eV per atom)
1,-1036.4,-4.761
2,-900.7,-5.209
3,-1114.5,-5.276
4,-481.1,-4.078
5,-533.7,-4.087
6,-863.3,-4.515
7,-500.3,-4.969
8,-921.5,-5.083
9,-892.7,-5.126
10,-684.3,-4.994
11,-796.9,-5.626
12,-960.8,-5.790